(1)
First-principles (PBE) data for a geometry-optimized MgInSe2 structure, as listed in the Alexandria database.

Formation energy from raw total energies   -398 meV per atom
Symmetry   P4/mmm
Fermi-level density of states   0.48 states/eV per atom
Total magnetic moment   0.00 Bohr magnetons per cell

abc: 5.004 5.004 3.539
angles: 90.00 90.00 90.01
Fractional coordinates of all 4 atoms:
In1 0.500 0.000 0.500
Se1 0.000 0.000 0.000
Mg1 0.000 0.500 0.500
Se2 0.500 0.500 0.000

***

(2)
First-principles (PBE) data for a geometry-optimized MgIn2Se structure, as listed in the Alexandria database.

Formation energy from raw total energies   -209 meV per atom
Symmetry   I-42d
Fermi-level density of states   0.47 states/eV per atom
Total magnetic moment   0.00 Bohr magnetons per cell

abc: 8.160 8.160 6.558
angles: 51.53 51.53 90.00
Fractional coordinates of all 8 atoms:
In1 0.375 0.362 0.750
Mg1 0.250 0.750 0.500
In2 0.112 0.625 0.250
Mg2 0.500 0.500 0.000
Se1 0.000 0.000 0.000
In3 0.875 0.888 0.750
In4 0.638 0.125 0.250
Se2 0.750 0.250 0.500

***

(3)
First-principles (PBE) data for a geometry-optimized MgInSe structure, as listed in the Alexandria database.

Formation energy from raw total energies   -478 meV per atom
Symmetry   I4mm
Fermi-level density of states   0.29 states/eV per atom
Total magnetic moment   0.00 Bohr magnetons per cell

abc: 6.656 6.656 3.621
angles: 74.22 74.22 31.57
Fractional coordinates of all 3 atoms:
Se1 0.732 0.732 0.268
Mg1 0.285 0.285 0.715
In1 0.983 0.983 0.017

***

(4)
First-principles (PBE) data for a geometry-optimized MgInSe2 structure, as listed in the Alexandria database.

Formation energy from raw total energies   -523 meV per atom
Symmetry   Pmmm
Fermi-level density of states   0.14 states/eV per atom
Total magnetic moment   0.00 Bohr magnetons per cell

abc: 3.923 7.589 3.816
angles: 90.00 90.00 90.00
Fractional coordinates of all 4 atoms:
Mg1 0.000 0.500 0.500
Se1 0.000 0.000 0.000
Se2 0.500 0.500 0.000
In1 0.500 0.000 0.500

***

(5)
First-principles (PBE) data for a geometry-optimized MgInSe2 structure, as listed in the Alexandria database.

Formation energy from raw total energies   -783 meV per atom
Symmetry   P4mm
Fermi-level density of states   0.16 states/eV per atom
Total magnetic moment   0.00 Bohr magnetons per cell

abc: 4.029 4.029 5.832
angles: 90.00 90.00 90.00
Fractional coordinates of all 4 atoms:
Se1 0.000 0.000 0.874
Se2 0.500 0.500 0.374
Mg1 0.500 0.500 0.876
In1 0.000 0.000 0.375

***

(6)
First-principles (PBE) data for a geometry-optimized MgIn2Se structure, as listed in the Alexandria database.

Formation energy from raw total energies   -149 meV per atom
Symmetry   I-4m2
Fermi-level density of states   0.37 states/eV per atom
Total magnetic moment   0.00 Bohr magnetons per cell

abc: 5.889 5.889 5.889
angles: 135.30 135.30 65.06
Fractional coordinates of all 4 atoms:
In1 0.250 0.750 0.500
Mg1 0.500 0.500 0.000
Se1 0.750 0.250 0.500
In2 0.000 0.000 0.000

***

no.,uncorrected energy (eV per formula unit)
1,-12.9
2,-11.4
3,-9.3
4,-13.4
5,-14.4
6,-11.2